1.
Compound: Zn6CuNi5
Source: the Alexandria database
Functional: PBE
Structure: relaxed

a = 4.1553 Å, b = 12.4613 Å, c = 5.6829 Å
α = 90.00°, β = 90.00°, γ = 90.00°
Space group Cmmm (No. 65)
One atom of each set of equivalent atoms:
Zn (0.0000, 0.0000, 0.2468) [4 per cell]
Zn (0.0000, 0.3313, 0.2484) [8 per cell]
Cu (0.0000, 0.5000, 0.5000) [2 per cell]
Ni (0.0000, 0.1650, 0.0000) [4 per cell]
Ni (0.0000, 0.1655, 0.5000) [4 per cell]
Ni (0.0000, 0.5000, 0.0000) [2 per cell]

ΔE_f	-204	meV per atom

2.
Compound: Zn12Cu6Ni
Source: the Alexandria database
Functional: PBE
Structure: relaxed

a = 9.0252 Å, b = 9.0252 Å, c = 11.0564 Å
α = 90.00°, β = 90.00°, γ = 120.00°
Space group R-3 (No. 148, hexagonal axes)
One atom of each set of equivalent atoms:
Zn (0.0330, 0.8484, 0.3173) [18 per cell]
Zn (0.0609, 0.2126, 0.9112) [18 per cell]
Cu (0.0247, 0.5901, 0.2026) [18 per cell]
Ni (0.0000, 0.0000, 0.5000) [3 per cell]

ΔE_f	-89	meV per atom

3.
Compound: Zn2CuNi3
Source: the Alexandria database
Functional: PBE
Structure: relaxed

a = 2.7531 Å, b = 2.7531 Å, c = 9.3632 Å
α = 90.00°, β = 90.00°, γ = 90.00°
Space group P4/mmm (No. 123)
One atom of each set of equivalent atoms:
Zn (0.0000, 0.0000, 0.1702) [2 per cell]
Cu (0.0000, 0.0000, 0.5000) [1 per cell]
Ni (0.5000, 0.5000, 0.0000) [1 per cell]
Ni (0.5000, 0.5000, 0.3374) [2 per cell]

ΔE_f	-148	meV per atom

4.
Compound: ZnCu14Ni
Source: the Alexandria database
Functional: PBE
Structure: relaxed

a = 8.3640 Å, b = 5.1314 Å, c = 8.9212 Å
α = 90.00°, β = 90.00°, γ = 90.00°
Space group Amm2 (No. 38)
One atom of each set of equivalent atoms:
Zn (0.0000, 0.0000, 0.0000) [2 per cell]
Cu (0.0000, 0.2495, 0.2503) [4 per cell]
Cu (0.2491, 0.0000, 0.6651) [4 per cell]
Cu (0.2511, 0.0000, 0.1663) [4 per cell]
Cu (0.2505, 0.2480, 0.4156) [8 per cell]
Cu (0.5000, 0.0000, 0.3313) [2 per cell]
Cu (0.5000, 0.0000, 0.8316) [2 per cell]
Cu (0.5000, 0.2498, 0.0815) [4 per cell]
Ni (0.0000, 0.0000, 0.5003) [2 per cell]

ΔE_f	-15	meV per atom

5.
Compound: Zn4Cu7Ni
Source: the Alexandria database
Functional: PBE
Structure: relaxed

a = 4.5841 Å, b = 5.1323 Å, c = 6.7979 Å
α = 99.24°, β = 107.22°, γ = 90.86°
Space group P-1 (No. 2)
One atom of each set of equivalent atoms:
Zn (0.1726, 0.1701, 0.1747) [2 per cell]
Zn (0.3266, 0.5736, 0.8227) [2 per cell]
Cu (0.0000, 0.2486, 0.5041) [2 per cell]
Cu (0.1727, 0.6703, 0.1688) [2 per cell]
Cu (0.3319, 0.0792, 0.8324) [2 per cell]
Cu (0.5000, 0.0000, 0.5000) [1 per cell]
Ni (0.5000, 0.5000, 0.5000) [1 per cell]

ΔE_f	-62	meV per atom

6.
Compound: ZnCu7Ni4
Source: the Alexandria database
Functional: PBE
Structure: relaxed

a = 4.4033 Å, b = 5.0926 Å, c = 6.7070 Å
α = 100.04°, β = 109.10°, γ = 90.35°
Space group P-1 (No. 2)
One atom of each set of equivalent atoms:
Zn (0.0000, 0.0000, 0.0000) [1 per cell]
Cu (0.0000, 0.5000, 0.0000) [1 per cell]
Cu (0.1691, 0.9148, 0.6635) [2 per cell]
Cu (0.3340, 0.3372, 0.3368) [2 per cell]
Cu (0.4989, 0.7460, 0.0006) [2 per cell]
Ni (0.1639, 0.4128, 0.6651) [2 per cell]
Ni (0.3341, 0.8337, 0.3331) [2 per cell]

ΔE_f	-15	meV per atom
energy above the most stable polymorph in this dataset	0	kJ/mol of formula units

7.
Compound: ZnCu2Ni9
Source: the Alexandria database
Functional: PBE
Structure: relaxed

a = 3.5545 Å, b = 3.5545 Å, c = 10.6469 Å
α = 90.00°, β = 90.00°, γ = 90.00°
Space group P4/mmm (No. 123)
One atom of each set of equivalent atoms:
Zn (0.0000, 0.0000, 0.0000) [1 per cell]
Cu (0.0000, 0.0000, 0.3344) [2 per cell]
Ni (0.0000, 0.5000, 0.1692) [4 per cell]
Ni (0.0000, 0.5000, 0.5000) [2 per cell]
Ni (0.5000, 0.5000, 0.0000) [1 per cell]
Ni (0.5000, 0.5000, 0.3344) [2 per cell]

ΔE_f	-13	meV per atom

8.
Compound: ZnCu4Ni6
Source: the Alexandria database
Functional: PBE
Structure: relaxed

a = 4.7286 Å, b = 4.7286 Å, c = 12.2477 Å
α = 90.00°, β = 90.00°, γ = 90.00°
Space group I-42m (No. 121)
One atom of each set of equivalent atoms:
Zn (0.0000, 0.0000, 0.0000) [2 per cell]
Cu (0.1946, 0.1946, 0.8211) [8 per cell]
Ni (0.0000, 0.5000, 0.0000) [4 per cell]
Ni (0.1830, 0.1830, 0.6272) [8 per cell]

ΔE_f	282	meV per atom

9.
Compound: Zn4Cu4Ni
Source: the Alexandria database
Functional: PBE
Structure: relaxed

a = 8.1109 Å, b = 8.1109 Å, c = 3.4843 Å
α = 90.00°, β = 90.00°, γ = 90.00°
Space group I4/mmm (No. 139)
One atom of each set of equivalent atoms:
Zn (0.1636, 0.1636, 0.0000) [8 per cell]
Cu (0.0000, 0.3355, 0.5000) [8 per cell]
Ni (0.0000, 0.0000, 0.5000) [2 per cell]

ΔE_f	-96	meV per atom
energy above the most stable polymorph in this dataset	0	kJ/mol of formula units

10.
Compound: ZnCuNi3
Source: the Alexandria database
Functional: PBE
Structure: relaxed

a = 4.2963 Å, b = 4.2963 Å, c = 4.2963 Å
α = 90.00°, β = 90.00°, γ = 90.00°
Space group Pm-3m (No. 221)
One atom of each set of equivalent atoms:
Zn (0.0000, 0.0000, 0.0000) [1 per cell]
Cu (0.5000, 0.5000, 0.5000) [1 per cell]
Ni (0.0000, 0.0000, 0.5000) [3 per cell]

ΔE_f	1038	meV per atom
energy above the most stable polymorph in this dataset	384	kJ/mol of formula units

11.
Compound: ZnCu2Ni4
Source: the Alexandria database
Functional: PBE
Structure: relaxed

a = 6.0286 Å, b = 6.0286 Å, c = 4.6767 Å
α = 90.00°, β = 90.00°, γ = 90.00°
Space group I4/mmm (No. 139)
One atom of each set of equivalent atoms:
Zn (0.0000, 0.0000, 0.0000) [2 per cell]
Cu (0.0000, 0.5000, 0.2500) [4 per cell]
Ni (0.1990, 0.1990, 0.5000) [8 per cell]

ΔE_f	127	meV per atom
energy above the most stable polymorph in this dataset	117	kJ/mol of formula units

12.
Compound: Zn2Cu2Ni
Source: the Alexandria database
Functional: PBE
Structure: relaxed

a = 6.9170 Å, b = 6.9170 Å, c = 2.7201 Å
α = 90.00°, β = 90.00°, γ = 90.00°
Space group P4/mbm (No. 127)
One atom of each set of equivalent atoms:
Zn (0.1730, 0.3270, 0.0000) [4 per cell]
Cu (0.1265, 0.6265, 0.5000) [4 per cell]
Ni (0.0000, 0.0000, 0.5000) [2 per cell]

ΔE_f	52	meV per atom
energy above the most stable polymorph in this dataset	53	kJ/mol of formula units

Repeat the fifth record exactly.
Compound: Zn4Cu7Ni
Source: the Alexandria database
Functional: PBE
Structure: relaxed

a = 4.5841 Å, b = 5.1323 Å, c = 6.7979 Å
α = 99.24°, β = 107.22°, γ = 90.86°
Space group P-1 (No. 2)
One atom of each set of equivalent atoms:
Zn (0.1726, 0.1701, 0.1747) [2 per cell]
Zn (0.3266, 0.5736, 0.8227) [2 per cell]
Cu (0.0000, 0.2486, 0.5041) [2 per cell]
Cu (0.1727, 0.6703, 0.1688) [2 per cell]
Cu (0.3319, 0.0792, 0.8324) [2 per cell]
Cu (0.5000, 0.0000, 0.5000) [1 per cell]
Ni (0.5000, 0.5000, 0.5000) [1 per cell]

ΔE_f	-62	meV per atom

What is the formula in the seventh record?
ZnCu2Ni9

Which value of ΔE_f does entry 12 give?
52 meV per atom

The highest ΔE_f belongs to which entry?
ZnCuNi3